Computed, not measured: a crystal of Tl2BrCl relaxed with PBEsol at the meta-GGA SCAN level of DFT.

Values from the calculation:
As for the total energy: -1.61769 hartree per atom. As for the raw formation energy: -0.9810 eV/atom. As for the energy above the most stable polymorph in this dataset: 0.000 eV/atom. For the magnetic moment, the calculation gives 0.00 μB/atom. Its symmetry is C2/m (12).

```
4
Lattice="4.527 0.000 0.000 -2.263 3.938 -0.018 0.000 -2.570 7.404" Properties=species:S:1:pos:R:3 pbc="T T T"
Tl 0.000 1.325 1.753
Tl 2.263 0.043 5.633
Cl 2.263 0.000 0.000
Br 0.000 -1.285 3.702
```

Computed, not measured: a crystal of Tl2BrCl relaxed with PBEsol at the meta-GGA SCAN level of DFT.

Values from the calculation:
As for the total energy: -1.61760 hartree per atom. As for the raw formation energy: -0.9786 eV/atom. As for the energy above the most stable polymorph in this dataset: 0.002 eV/atom. For the magnetic moment, the calculation gives 0.00 μB/atom. Its symmetry is P2/m (10).

```
4
Lattice="-1.889 1.145 -3.123 -1.651 -3.442 -0.263 -5.761 2.427 4.398" Properties=species:S:1:pos:R:3 pbc="T T T"
Cl -4.651 0.065 0.506
Tl -6.153 2.941 0.133
Tl -1.498 0.631 1.142
Br -1.770 -1.148 -1.693
```

Respective volume values: 131.77, 111.88 Å³ per cell.